Below is a relaxed In4I3Br2 crystal, with properties calculated at the PBE level.

Lattice parameters (Å, degrees): 16.2706 13.0720 6.6908 90.00 97.06 90.00
Closest atoms and distances in Å follow each position.
Space group C2/c (No. 15)
Asymmetric unit:
In1 0.0974 0.1621 0.0330  2 Br 3.39-3.58, 5 I 3.42-3.64
In2 0.1857 0.3898 0.4176  2 Br 2.94-3.04, 2 I 3.09-3.26
I1 0.0000 0.3793 0.2500  2 In 3.09
I2 0.1124 0.1104 0.5369  5 In 3.26-3.57
Br1 0.1968 0.3868 0.8741  2 In 2.94-3.04

Calculated values
theoretical density: 4.7 g/cm3
E_form (uncorrected): -0.488 eV per atom
E above lowest polymorph: 0.022 eV/atom
crystal system: monoclinic